# 1
Er2TmRu3 (GGA-PBE, relaxed); magnetic moment = 0.000 μB per cell; energy above the most stable polymorph in this dataset = 0 meV/atom; volume = 19.0 Å³ per atom; SG = P4/mmm (123); density of states at the Fermi level = 6.08 states/eV per cell; crystal system = tetragonal
1.0
-2.012 -2.623 0.661
0.673 0.313 3.289
-7.804 6.239 1.003
Er Tm Ru
2 1 3
Direct
0.500 0.500 0.833
0.500 0.500 0.167
0.500 0.500 0.500
0.000 0.000 0.000
0.000 0.000 0.666
0.000 0.000 0.334

=====

# 2
Li6SiGe2 (GGA-PBE, relaxed); magnetic moment = 0.000 μB per cell; energy above the most stable polymorph in this dataset = 44 meV/atom; volume = 15.3 Å³ per atom; SG = C2/m (12); density of states at the Fermi level = 2.77 states/eV per cell; crystal system = monoclinic; formation energy without anion corrections = -23.84 kJ per mole of atoms
1.0
4.417 0.160 0.206
2.069 3.906 0.206
-0.387 -0.243 8.110
Li Si Ge
6 1 2
Direct
0.002 0.002 0.824
0.332 0.332 0.294
0.668 0.668 0.706
0.334 0.334 0.605
0.666 0.666 0.395
0.998 0.998 0.176
0.000 0.000 0.500
0.334 0.334 0.939
0.666 0.666 0.061

=====

# 3
ScCr2Fe (GGA-PBE, relaxed); magnetic moment = 0.781 μB per cell; energy above the most stable polymorph in this dataset = 106 meV/atom; volume = 13.7 Å³ per atom; SG = Pm (6); density of states at the Fermi level = 4.41 states/eV per cell; crystal system = monoclinic
1.0
-0.817 0.073 3.729
-2.580 -0.716 -0.552
0.217 -5.381 0.153
Cr Fe Sc
2 1 1
Direct
0.000 0.035 0.053
0.500 0.239 0.245
0.000 0.471 0.458
0.500 0.755 0.744

=====

# 4
CsRb4Tl (GGA-PBE, relaxed); magnetic moment = 0.000 μB per cell; energy above the most stable polymorph in this dataset = 0 meV/atom; volume = 79.0 Å³ per atom; SG = C2/m (12); density of states at the Fermi level = 10.62 states/eV per cell; crystal system = monoclinic
1.0
7.704 -0.026 -2.662
-1.369 9.521 -4.054
0.145 -0.184 12.959
Cs Rb Tl
2 8 2
Direct
0.207 0.207 0.415
0.793 0.793 0.585
0.848 0.347 0.695
0.610 0.346 0.218
0.000 0.218 0.000
0.390 0.128 0.782
0.152 0.653 0.305
0.390 0.654 0.782
0.000 0.782 0.000
0.610 0.872 0.218
0.690 0.499 0.999
0.310 0.501 0.001

=====

# 5
Y2TmLu (GGA-PBE, relaxed); magnetic moment = 0.000 μB per cell; energy above the most stable polymorph in this dataset = 175 meV/atom; volume = 31.9 Å³ per atom; SG = R-3m (166); density of states at the Fermi level = 6.12 states/eV per cell; crystal system = trigonal
1.0
-0.033 -2.162 2.700
1.822 -2.938 -0.115
10.311 4.137 5.655
Y Lu Tm
2 1 1
Direct
0.090 0.090 0.730
0.910 0.910 0.270
0.000 0.000 0.000
0.500 0.500 0.500

=====

# 6
Ni2Te2Pb (GGA-PBE, relaxed); magnetic moment = 0.000 μB per cell; energy above the most stable polymorph in this dataset = 236 meV/atom; volume = 22.4 Å³ per atom; SG = I4/mmm (139); density of states at the Fermi level = 4.18 states/eV per cell; crystal system = tetragonal; formation energy without anion corrections = 12.38 kJ per mole of atoms
1.0
4.984 0.000 0.000
0.000 4.984 0.000
2.492 2.492 4.513
Pb Ni Te
1 2 2
Direct
0.000 0.000 0.000
0.348 0.348 0.304
0.652 0.652 0.696
0.750 0.250 0.500
0.250 0.750 0.500

=====

> The highest magnetic moment belongs to which entry?

ScCr2Fe